Record 1
AgTePb | SCAN | PBEsol geometry

abc: 5.0691 5.0691 5.0691
angles: 60.00 60.00 60.00
Fractional positions:
Ag: 0.0000 0.0000 0.0000
Te: 0.5000 0.5000 0.5000
Pb: 0.2500 0.2500 0.2500

Calculated values
As for the symmetry: F-43m (216). As for the raw formation energy: 0.237 eV per atom. Its uncorrected energy is -47.896 eV per atom. Its density of states at the Fermi level is 1.2 states/eV/f.u.

=====

Record 2
TiRePt2W | SCAN | PBEsol geometry

abc: 4.7667 4.7667 4.6263
angles: 90.00 90.00 90.00
Fractional positions:
Ti: 0.0000 0.0000 0.0000
Re: 0.5000 0.5000 0.0000
Pt: 0.0000 0.5000 0.5000
Pt: 0.5000 0.0000 0.5000
W: 0.5000 0.5000 0.5000

Calculated values
As for the symmetry: P4/mmm (123). The formation energy comes out at 1287 meV/atom. Its uncorrected energy is -58.154 eV per atom. Its density of states at the Fermi level is 2.9 states/eV/f.u.

=====

Record 3
AlPPt2 | SCAN | PBEsol geometry

abc: 4.4900 4.4900 4.4900
angles: 125.89 125.89 80.06
Fractional positions:
Al: 0.0000 0.0000 0.0000
P: 0.5000 0.5000 0.0000
Pt: 0.2500 0.7500 0.5000
Pt: 0.7500 0.2500 0.5000

Calculated values
As for the symmetry: I4/mmm (139). The formation energy comes out at -359 meV/atom. The energy above the most stable polymorph in this dataset comes out at 1.137 eV/f.u. Its uncorrected energy is -39.993 eV per atom. Its density of states at the Fermi level is 1.3 states/eV/f.u.